Entry 1:
A plane-wave DFT calculation with GGA-PBE was carried out for crystalline CdAg3 at its relaxed geometry.

space group	I4/mmm, No. 139
electronic total energy	-2.398	eV per atom
magnetic moment	0.0	μB per formula unit
calculated formation energy	-0.031	eV per atom

Cell: 4.2298 4.2298 8.2861 Å, 90.00 90.00 90.00°
Closest atoms and distances in Å follow each position.
Atoms (fractional coordinates):
Cd 0.0000 0.0000 0.0000  12 Ag 2.96-2.99
Cd 0.5000 0.5000 0.5000  12 Ag 2.96-2.99
Ag 0.0000 0.0000 0.5000  8 Ag 2.96, 4 Cd 2.99
Ag 0.0000 0.5000 0.2500  4 Cd 2.96, 8 Ag 2.96-2.99
Ag 0.0000 0.5000 0.7500  4 Cd 2.96, 8 Ag 2.96-2.99
Ag 0.5000 0.0000 0.2500  4 Cd 2.96, 8 Ag 2.96-2.99
Ag 0.5000 0.0000 0.7500  4 Cd 2.96, 8 Ag 2.96-2.99
Ag 0.5000 0.5000 0.0000  8 Ag 2.96, 4 Cd 2.99

=====

Entry 2:
A plane-wave DFT calculation with GGA-PBE was carried out for crystalline CdAg at its relaxed geometry.

space group	Fd-3m, No. 227
electronic total energy	-1.899	eV per atom
magnetic moment	0.0	μB per formula unit
calculated formation energy	-0.016	eV per atom

Cell: 6.7811 6.7811 6.7811 Å, 90.00 90.00 90.00°
Closest atoms and distances in Å follow each position.
Atoms (fractional coordinates):
Cd 0.1250 0.1250 0.1250  4 Ag 2.94, 4 Cd 2.94
Cd 0.1250 0.6250 0.6250  4 Ag 2.94, 4 Cd 2.94
Cd 0.3750 0.3750 0.8750  4 Cd 2.94, 4 Ag 2.94
Cd 0.3750 0.8750 0.3750  4 Cd 2.94, 4 Ag 2.94
Cd 0.6250 0.1250 0.6250  4 Ag 2.94, 4 Cd 2.94
Cd 0.6250 0.6250 0.1250  4 Ag 2.94, 4 Cd 2.94
Cd 0.8750 0.3750 0.3750  4 Cd 2.94, 4 Ag 2.94
Cd 0.8750 0.8750 0.8750  4 Cd 2.94, 4 Ag 2.94
Ag 0.1250 0.1250 0.6250  4 Ag 2.94, 4 Cd 2.94
Ag 0.1250 0.6250 0.1250  4 Ag 2.94, 4 Cd 2.94
Ag 0.3750 0.3750 0.3750  4 Cd 2.94, 4 Ag 2.94
Ag 0.3750 0.8750 0.8750  4 Cd 2.94, 4 Ag 2.94
Ag 0.6250 0.1250 0.1250  4 Ag 2.94, 4 Cd 2.94
Ag 0.6250 0.6250 0.6250  4 Ag 2.94, 4 Cd 2.94
Ag 0.8750 0.3750 0.8750  4 Cd 2.94, 4 Ag 2.94
Ag 0.8750 0.8750 0.3750  4 Cd 2.94, 4 Ag 2.94

=====

Entry 3:
A plane-wave DFT calculation with GGA-PBE was carried out for crystalline Cd2Ag at its relaxed geometry.

space group	C2/m, No. 12
electronic total energy	-1.615	eV per atom
magnetic moment	0.0	μB per formula unit
calculated formation energy	-0.055	eV per atom
excess energy over the best structure of this formula in the dataset	0	meV per atom

Cell: 11.1610 3.1127 7.2023 Å, 90.00 104.70 90.00°
Closest atoms and distances in Å follow each position.
Atoms (fractional coordinates):
Cd 0.1368 0.0000 0.0316  8 Cd 2.97-3.13, 4 Ag 2.99-3.08
Cd 0.1855 0.0000 0.6320  5 Ag 2.98-3.09, 7 Cd 3.06-3.13
Cd 0.3145 0.5000 0.3680  5 Ag 2.98-3.09, 7 Cd 3.06-3.13
Cd 0.3632 0.5000 0.9684  8 Cd 2.97-3.13, 4 Ag 2.99-3.08
Cd 0.6368 0.5000 0.0316  8 Cd 2.97-3.13, 4 Ag 2.99-3.08
Cd 0.6855 0.5000 0.6320  5 Ag 2.98-3.09, 7 Cd 3.06-3.13
Cd 0.8145 0.0000 0.3680  5 Ag 2.98-3.09, 7 Cd 3.06-3.13
Cd 0.8632 0.0000 0.9684  8 Cd 2.97-3.13, 4 Ag 2.99-3.08
Ag 0.0298 0.5000 0.3059  9 Cd 2.98-3.09, 3 Ag 3.03-3.11
Ag 0.4702 0.0000 0.6941  9 Cd 2.98-3.09, 3 Ag 3.03-3.11
Ag 0.5298 0.0000 0.3059  9 Cd 2.98-3.09, 3 Ag 3.03-3.11
Ag 0.9702 0.5000 0.6941  9 Cd 2.98-3.09, 3 Ag 3.03-3.11

=====

Entry 4:
A plane-wave DFT calculation with GGA-PBE was carried out for crystalline CdAg3 at its relaxed geometry.

space group	Pm-3m, No. 221
electronic total energy	-2.406	eV per atom
magnetic moment	0.0	μB per formula unit
calculated formation energy	-0.038	eV per atom

Cell: 4.1993 4.1993 4.1993 Å, 90.00 90.00 90.00°
Closest atoms and distances in Å follow each position.
Atoms (fractional coordinates):
Cd 0.0000 0.0000 0.0000  12 Ag 2.97
Ag 0.0000 0.5000 0.5000  4 Cd 2.97, 8 Ag 2.97
Ag 0.5000 0.0000 0.5000  4 Cd 2.97, 8 Ag 2.97
Ag 0.5000 0.5000 0.0000  4 Cd 2.97, 8 Ag 2.97

=====

Entry 5:
A plane-wave DFT calculation with GGA-PBE was carried out for crystalline Cd13Ag2 at its relaxed geometry.

space group	R-3m, No. 166
electronic total energy	-1.035	eV per atom
magnetic moment	0.0	μB per formula unit
calculated formation energy	0.138	eV per atom
excess energy over the best structure of this formula in the dataset	115	meV per atom

Cell: 8.4941 8.4941 8.4941 Å, 57.34 57.34 57.34°
Closest atoms and distances in Å follow each position.
Atoms (fractional coordinates):
Cd 0.0000 0.0000 0.0000  12 Cd 2.91-3.10
Cd 0.0230 0.0230 0.6336  2 Cd 2.75-2.91, 1 Ag 2.87
Cd 0.0230 0.6336 0.0230  2 Cd 2.75-2.91, 1 Ag 2.87
Cd 0.2432 0.2432 0.5974  6 Cd 2.89-3.13
Cd 0.2432 0.5974 0.2432  6 Cd 2.89-3.13
Cd 0.3664 0.9770 0.9770  2 Cd 2.75-2.91, 1 Ag 2.87
Cd 0.4026 0.7568 0.7568  6 Cd 2.89-3.13
Cd 0.5974 0.2432 0.2432  6 Cd 2.89-3.13
Cd 0.6336 0.0230 0.0230  2 Cd 2.75-2.91, 1 Ag 2.87
Cd 0.7568 0.4026 0.7568  6 Cd 2.89-3.13
Cd 0.7568 0.7568 0.4026  6 Cd 2.89-3.13
Cd 0.9770 0.3664 0.9770  2 Cd 2.75-2.91, 1 Ag 2.87
Cd 0.9770 0.9770 0.3664  2 Cd 2.75-2.91, 1 Ag 2.87
Ag 0.2266 0.2266 0.2266  6 Cd 2.87-3.13
Ag 0.7734 0.7734 0.7734  6 Cd 2.87-3.13

=====

Entry 6:
A plane-wave DFT calculation with GGA-PBE was carried out for crystalline CdAg at its relaxed geometry.

space group	P-3m1, No. 164
electronic total energy	-1.899	eV per atom
magnetic moment	0.0	μB per formula unit
calculated formation energy	-0.016	eV per atom

Cell: 3.0547 3.0547 9.7212 Å, 90.00 90.00 120.00°
Closest atoms and distances in Å follow each position.
Atoms (fractional coordinates):
Cd 0.3333 0.6667 0.3664  3 Ag 2.98, 9 Cd 3.05-3.14
Cd 0.6667 0.3333 0.6336  3 Ag 2.98, 9 Cd 3.05-3.14
Ag 0.3333 0.6667 0.8810  9 Ag 2.91-3.05, 3 Cd 2.98
Ag 0.6667 0.3333 0.1190  9 Ag 2.91-3.05, 3 Cd 2.98

=====

Q: Among the records above, which one has the highest electronic total energy?
A: Cd13Ag2